## Hg2WBr (GGA-PBE)

Data for Hg2WBr after structural relaxation.

Cell lengths 4.4118, 4.4118, 9.1167 Å; angles 90.00, 90.00, 90.00 degrees
Fractional positions:
Hg: 0.0000 0.0000 0.0000
Hg: 0.0000 0.5000 0.2500
Hg: 0.5000 0.0000 0.7500
Hg: 0.5000 0.5000 0.5000
W: 0.0000 0.5000 0.7500
W: 0.5000 0.0000 0.2500
Br: 0.0000 0.0000 0.5000
Br: 0.5000 0.5000 0.0000

Output
Formation energy without anion corrections in meV/atom: 1124
E above lowest polymorph in eV/f.u.: 2.51